[1]
Entry from the Alexandria database: a relaxed structure of Ca2MgGeSb (PBE-GGA).

Output
Symmetry = P4/mmm

Cell: 5.8468 5.5305 5.8468 Å, 90.00 90.00 90.00°
Atoms (fractional coordinates):
Ge: 0.0000 0.5000 0.0000
Sb: 0.0000 0.0000 0.0000
Ca: 0.0000 0.0000 0.5000
Mg: 0.5000 0.5000 0.5000
Ca: 0.5000 0.0000 0.0000



[2]
Entry from the Alexandria database: a relaxed structure of In3Co4 (PBE-GGA).

Output
ΔE_f = 0.7161 eV per atom
Symmetry = P6/mmm

Cell: 5.5444 5.5444 4.4199 Å, 90.00 90.00 120.00°
Atoms (fractional coordinates):
In: 0.5000 0.5000 0.0000
Co: 0.6667 0.3333 0.5000
Co: 0.3333 0.6667 0.5000
Co: 0.0000 0.0000 0.7488
In: 0.5000 0.0000 0.0000
In: 0.0000 0.5000 0.0000
Co: 0.0000 0.0000 0.2512



[3]
Entry from the Alexandria database: a relaxed structure of Er3S4 (PBE-GGA).

Output
Energy above the lowest structure with this stoichiometry = 0.0 kJ per mole of atoms
Symmetry = Cmmm

Cell: 3.8846 6.6564 6.6564 Å, 108.40 90.00 90.00°
Atoms (fractional coordinates):
S: 0.5000 0.2530 0.7470
S: 0.0000 0.2419 0.2419
Er: 0.0000 0.0000 0.5000
S: 0.5000 0.7470 0.2530
S: 0.0000 0.7581 0.7581
Er: 0.5000 0.0000 0.0000
Er: 0.0000 0.5000 0.0000



[4]
Entry from the Alexandria database: a relaxed structure of TbPu3Se4 (PBE-GGA).

Output
Energy above the lowest structure with this stoichiometry = 0.0 kJ per mole of atoms
Symmetry = Cmmm

Cell: 4.1363 7.1637 7.1637 Å, 109.44 90.00 90.00°
Atoms (fractional coordinates):
Se: 0.0000 0.7520 0.7520
Tb: 0.5000 0.0000 0.0000
Pu: 0.0000 0.5000 0.0000
Se: 0.5000 0.2491 0.7509
Se: 0.5000 0.7509 0.2491
Pu: 0.5000 0.5000 0.5000
Se: 0.0000 0.2480 0.2480
Pu: 0.0000 0.0000 0.5000



Number 1: uncorrected energy -2.78 eV per atom, magnetization 0.0 μB/cell, D(E_F) 3.4 states/eV/f.u.. Number 2: uncorrected energy -4.52 eV per atom, magnetization 5.3 μB/cell, D(E_F) 11.0 states/eV/f.u.. Number 3: uncorrected energy -6.38 eV per atom, magnetization 0.0 μB/cell, D(E_F) 2.4 states/eV/f.u.. Number 4: uncorrected energy -9.30 eV per atom, magnetization 17.5 μB/cell, D(E_F) 26.7 states/eV/f.u..